1.
Material: Tl2CdHg2
Method: DFT, PBE
State: optimized geometry

Lattice parameters (Å, degrees): 7.819 7.819 4.730 90.00 90.00 90.00
Fractional positions:
Tl (0.166, 0.334, 0.000)
Tl (0.334, 0.834, 0.000)
Tl (0.666, 0.166, 0.000)
Tl (0.834, 0.666, 0.000)
Cd (0.000, 0.000, 0.500)
Cd (0.500, 0.500, 0.500)
Hg (0.140, 0.640, 0.500)
Hg (0.360, 0.140, 0.500)
Hg (0.640, 0.860, 0.500)
Hg (0.860, 0.360, 0.500)

The energy above the most stable polymorph in this dataset comes out at 0.016 eV per atom. The calculation puts the density of states at the Fermi level at 5.31 states/eV per cell. The total magnetization comes out at 0.00 μB/f.u. For the energy of formation, the calculation gives 0.03 eV per atom. As for the space group: P4/mbm.

***

2.
Material: AgMo2As
Method: DFT, PBE
State: optimized geometry

Lattice parameters (Å, degrees): 5.305 5.305 5.305 145.36 128.77 63.33
Fractional positions:
Ag (0.000, 0.000, 0.000)
Mo (0.277, 0.777, 0.500)
Mo (0.723, 0.223, 0.500)
As (0.500, 0.500, 0.000)

The calculation puts the density of states at the Fermi level at 2.65 states/eV per cell. The total magnetization comes out at 0.00 μB/f.u. For the energy of formation, the calculation gives 0.33 eV per atom. As for the space group: Immm.

***

Q: The highest energy of formation belongs to which entry?
A: AgMo2As